(1)
SrSiF2 PBE optimized geometry; E above lowest polymorph = 147.6 kJ/mol of formula units
1.0
-3.048 3.048 5.414
3.048 -3.048 5.414
3.048 3.048 -5.414
Sr Si F
2 2 4
Direct
0.000 0.000 0.000
0.750 0.250 0.500
0.250 0.750 0.500
0.500 0.500 0.000
0.050 0.625 0.925
0.375 0.300 0.425
0.700 0.125 0.075
0.875 0.950 0.575



(2)
SrSiF PBE optimized geometry; E above lowest polymorph = 2.6 kJ/mol of formula units
1.0
2.001 1.155 9.124
-2.001 1.155 9.124
0.000 -2.311 9.124
Sr Si F
2 2 2
Direct
0.231 0.231 0.231
0.769 0.769 0.769
0.351 0.351 0.351
0.649 0.649 0.649
0.135 0.135 0.135
0.865 0.865 0.865



(3)
Sr2SiF PBE optimized geometry; E above lowest polymorph = 4.7 kJ/mol of formula units
1.0
-3.690 3.690 4.080
3.690 -3.690 4.080
3.690 3.690 -4.080
Sr Si F
4 2 2
Direct
0.062 0.625 0.937
0.375 0.312 0.437
0.688 0.125 0.063
0.875 0.938 0.563
0.250 0.750 0.500
0.500 0.500 0.000
0.000 0.000 0.000
0.750 0.250 0.500



(4)
Sr2SiF PBE optimized geometry; E above lowest polymorph = 0.0 kJ/mol of formula units
1.0
2.363 1.364 7.918
-2.363 1.364 7.918
0.000 -2.729 7.918
Sr Si F
2 1 1
Direct
0.097 0.097 0.097
0.903 0.903 0.903
0.500 0.500 0.500
0.000 0.000 0.000



(5)
SrSi3F PBE optimized geometry; E above lowest polymorph = 0.0 kJ/mol of formula units
1.0
4.615 0.000 0.000
0.000 4.615 0.000
0.000 0.000 4.615
Sr Si F
1 3 1
Direct
0.000 0.000 0.000
0.000 0.500 0.500
0.500 0.000 0.500
0.500 0.500 0.000
0.500 0.500 0.500



(6)
Sr2SiF4 PBE optimized geometry; energy = -0.173 Ha/atom
1.0
-2.038 2.038 8.002
2.038 -2.038 8.002
2.038 2.038 -8.002
Sr Si F
2 1 4
Direct
0.142 0.142 0.000
0.858 0.858 0.000
0.500 0.500 0.000
0.000 0.500 0.500
0.285 0.285 0.000
0.500 0.000 0.500
0.715 0.715 0.000



(7)
Sr2SiF PBE optimized geometry; E above lowest polymorph = 93.9 kJ/mol of formula units
1.0
0.000 3.731 3.731
3.731 0.000 3.731
3.731 3.731 0.000
Sr Si F
2 1 1
Direct
0.250 0.250 0.250
0.750 0.750 0.750
0.000 0.000 0.000
0.500 0.500 0.500



(8)
SrSiF2 PBE optimized geometry; E above lowest polymorph = 225.2 kJ/mol of formula units
1.0
0.000 3.283 3.283
3.283 0.000 3.283
3.283 3.283 0.000
Sr Si F
1 1 2
Direct
0.000 0.000 0.000
0.500 0.500 0.500
0.250 0.250 0.250
0.750 0.750 0.750